# PBE Ba2NaTlRh, optimized geometry
# **E_form**: -0.030 eV per atom
# **Magnetization**: 0.00 μB per atom
data_Ba2NaTlRh
_chemical_formula_sum 'Ba2 Na1 Tl1 Rh1'
_cell_length_a 5.849
_cell_length_b 5.849
_cell_length_c 5.629
_cell_angle_alpha 90.00
_cell_angle_beta 90.00
_cell_angle_gamma 90.00
_space_group_name_H-M_alt 'P 4/m m m'
_space_group_IT_number 123
_space_group_name_Hall '-P 4 2'
loop_
_atom_site_label
_atom_site_type_symbol
_atom_site_fract_x
_atom_site_fract_y
_atom_site_fract_z
_atom_site_occupancy
Ba1 Ba 0.000 0.500 0.000 1
Na1 Na 0.000 0.000 0.500 1
Tl1 Tl 0.500 0.500 0.500 1
Rh1 Rh 0.000 0.000 0.000 1


# PBE Ba2NaTlRh, optimized geometry
# **E_form**: -0.197 eV per atom
# **Magnetization**: 0.00 μB per atom
data_Ba2NaTlRh
_chemical_formula_sum 'Ba2 Na1 Tl1 Rh1'
_cell_length_a 6.082
_cell_length_b 6.082
_cell_length_c 5.400
_cell_angle_alpha 90.00
_cell_angle_beta 90.00
_cell_angle_gamma 90.00
_space_group_name_H-M_alt 'P 4/m m m'
_space_group_IT_number 123
_space_group_name_Hall '-P 4 2'
loop_
_atom_site_label
_atom_site_type_symbol
_atom_site_fract_x
_atom_site_fract_y
_atom_site_fract_z
_atom_site_occupancy
Ba1 Ba 0.000 0.500 0.000 1
Na1 Na 0.000 0.000 0.500 1
Tl1 Tl 0.500 0.500 0.500 1
Rh1 Rh 0.500 0.500 0.000 1


# PBE BaNaY2Rh, optimized geometry
# **E_form**: 1.083 eV per atom
# **Magnetization**: 0.00 μB per atom
data_BaNaY2Rh
_chemical_formula_sum 'Ba1 Na1 Y2 Rh1'
_cell_length_a 5.820
_cell_length_b 5.820
_cell_length_c 5.090
_cell_angle_alpha 90.00
_cell_angle_beta 90.00
_cell_angle_gamma 90.00
_space_group_name_H-M_alt 'P 4/m m m'
_space_group_IT_number 123
_space_group_name_Hall '-P 4 2'
loop_
_atom_site_label
_atom_site_type_symbol
_atom_site_fract_x
_atom_site_fract_y
_atom_site_fract_z
_atom_site_occupancy
Ba1 Ba 0.000 0.000 0.000 1
Na1 Na 0.500 0.500 0.500 1
Y1 Y 0.000 0.500 0.000 1
Rh1 Rh 0.000 0.000 0.500 1


# PBE Ba2NaYRh, optimized geometry
# **E_form**: -0.125 eV per atom
# **Magnetization**: 0.00 μB per atom
data_Ba2NaYRh
_chemical_formula_sum 'Ba2 Na1 Y1 Rh1'
_cell_length_a 6.287
_cell_length_b 6.287
_cell_length_c 5.368
_cell_angle_alpha 90.00
_cell_angle_beta 90.00
_cell_angle_gamma 90.00
_space_group_name_H-M_alt 'P 4/m m m'
_space_group_IT_number 123
_space_group_name_Hall '-P 4 2'
loop_
_atom_site_label
_atom_site_type_symbol
_atom_site_fract_x
_atom_site_fract_y
_atom_site_fract_z
_atom_site_occupancy
Ba1 Ba 0.000 0.500 0.000 1
Na1 Na 0.000 0.000 0.500 1
Y1 Y 0.500 0.500 0.500 1
Rh1 Rh 0.500 0.500 0.000 1


- Look up the E_form of the fourth one.
  -0.125 eV per atom